1.
First-principles (PBE-GGA) data for a geometry-optimized KHg9Au2 structure, as listed in the Alexandria database.

E_form: -0.68 eV/f.u.
magnetic moment: 0.00 Bohr magnetons per cell

Unit cell a=9.6737 b=9.6737 c=3.9874 alpha=90.00 beta=90.00 gamma=120.00
Last column: nearest neighbours and their distance in Å.
Space group P6/mmm (No. 191)
Inequivalent atoms, fractional coordinates:
1 K 0.0000 0.0000 0.0000 [1 per cell]  12 Hg 3.71, 2 K 3.99
2 Hg 0.0000 0.5000 0.0000 [3 per cell]  2 Au 2.79
3 Hg 0.1870 0.3739 0.5000 [6 per cell]  6 Hg 3.13-3.31, 2 Au 3.16
4 Au 0.3333 0.6667 0.0000 [2 per cell]  3 Hg 2.79


2.
First-principles (PBE-GGA) data for a geometry-optimized Cs3DyTm3Te8 structure, as listed in the Alexandria database.

uncorrected formation energy: -19.63 eV/f.u.
magnetic moment: 0.00 Bohr magnetons per cell

Unit cell a=15.2033 b=8.7734 c=10.5140 alpha=90.00 beta=118.86 gamma=90.00
Last column: nearest neighbours and their distance in Å.
Space group C2/m (No. 12)
Inequivalent atoms, fractional coordinates:
1 Cs 0.0000 0.0000 0.0000 [2 per cell]  6 Te 3.83
2 Cs 0.2500 0.2500 0.0000 [4 per cell]  6 Te 3.83
3 Dy 0.0000 0.0000 0.5000 [2 per cell]  6 Te 3.11
4 Tm 0.0000 0.5000 0.5000 [2 per cell]  6 Te 3.06-3.07
5 Tm 0.2500 0.2500 0.5000 [4 per cell]  6 Te 3.06-3.07
6 Te 0.0213 0.2538 0.3104 [8 per cell]  2 Tm 3.06, 1 Dy 3.11
7 Te 0.2295 0.5000 0.6883 [4 per cell]  3 Tm 3.07
8 Te 0.2325 0.0000 0.6896 [4 per cell]  2 Tm 3.06, 1 Dy 3.11


3.
First-principles (PBE-GGA) data for a geometry-optimized Cr2MoW structure, as listed in the Alexandria database.

E_form: 0.39 eV/f.u.
magnetic moment: 0.00 Bohr magnetons per cell

Unit cell a=3.0526 b=4.3526 c=8.4340 alpha=90.00 beta=90.00 gamma=90.00
Last column: nearest neighbours and their distance in Å.
Space group Immm (No. 71)
Inequivalent atoms, fractional coordinates:
1 Cr 0.0000 0.0000 0.2504 [4 per cell]  2 Mo 2.60, 2 W 2.61, 4 Cr 2.66
2 Mo 0.0000 0.5000 0.0000 [2 per cell]  4 Cr 2.60, 4 W 2.66
3 W 0.0000 0.5000 0.5000 [2 per cell]  4 Cr 2.61, 4 Mo 2.66


4.
First-principles (PBE-GGA) data for a geometry-optimized SrSc4Si5O17 structure, as listed in the Alexandria database.

uncorrected formation energy: -84.63 eV/f.u.
magnetic moment: 0.00 Bohr magnetons per cell

Unit cell a=5.3262 b=19.4780 c=6.6248 alpha=90.00 beta=106.62 gamma=90.00
Last column: nearest neighbours and their distance in Å.
Space group P2_1/m (No. 11)
Inequivalent atoms, fractional coordinates:
1 Sr 0.2333 0.2500 0.2709 [2 per cell]  6 O 2.54-2.73
2 Sc 0.3046 0.0378 0.6123 [4 per cell]  6 O 2.09-2.24
3 Sc 0.3589 0.6598 0.0383 [4 per cell]  6 O 2.07-2.26
4 Si 0.0612 0.2500 0.7561 [2 per cell]  4 O 1.63-1.64
5 Si 0.1970 0.0634 0.0902 [4 per cell]  4 O 1.62-1.66
6 Si 0.2351 0.6325 0.5152 [4 per cell]  4 O 1.63-1.68
7 O 0.0000 0.0000 0.0000 [2 per cell]  2 Si 1.62
8 O 0.0216 0.1835 0.5969 [4 per cell]  2 Si 1.64-1.68
9 O 0.0263 0.1319 0.1023 [4 per cell]  1 Si 1.63
10 O 0.0908 0.5594 0.5336 [4 per cell]  1 Si 1.64
11 O 0.1495 0.7500 0.1056 [2 per cell]  1 Si 1.64
12 O 0.3627 0.2500 0.9074 [2 per cell]  1 Si 1.63
13 O 0.3720 0.0757 0.9231 [4 per cell]  1 Si 1.66
14 O 0.3865 0.0359 0.3190 [4 per cell]  1 Si 1.65
15 O 0.3919 0.6701 0.7344 [4 per cell]  1 Si 1.63
16 O 0.4185 0.6265 0.3535 [4 per cell]  1 Si 1.65


5.
First-principles (PBE-GGA) data for a geometry-optimized CeSm2Mg2In2 structure, as listed in the Alexandria database.

E_form: -1.47 eV/f.u.
magnetic moment: 3.65 Bohr magnetons per cell

Unit cell a=5.0862 b=5.0862 c=26.0876 alpha=90.00 beta=90.00 gamma=120.00
Last column: nearest neighbours and their distance in Å.
Space group R-3m (No. 166, hexagonal axes)
Inequivalent atoms, fractional coordinates:
1 Ce 0.0000 0.0000 0.0000 [3 per cell]  2 Sm 3.34, 6 Mg 3.41, 6 In 3.45
2 Sm 0.0000 0.0000 0.1282 [6 per cell]  4 In 3.32-3.55, 1 Ce 3.34, 3 Mg 3.35, 3 Sm 3.56
3 Mg 0.0000 0.0000 0.3997 [6 per cell]  3 In 2.94
4 In 0.0000 0.0000 0.2641 [6 per cell]  3 Mg 2.94


6.
First-principles (PBE-GGA) data for a geometry-optimized Kr structure, as listed in the Alexandria database.

E_form: 0.00 eV/f.u.
magnetic moment: 0.00 Bohr magnetons per cell

Unit cell a=4.9364 b=4.9364 c=4.9364 alpha=90.00 beta=90.00 gamma=90.00
Last column: nearest neighbours and their distance in Å.
Space group Im-3m (No. 229)
Inequivalent atoms, fractional coordinates:
1 Kr 0.0000 0.0000 0.0000 [2 per cell]  8 Kr 4.28


7.
First-principles (PBE-GGA) data for a geometry-optimized Tb6InPd structure, as listed in the Alexandria database.

E_form: -0.30 eV/f.u.
magnetic moment: 0.00 Bohr magnetons per cell

Unit cell a=7.1464 b=7.1624 c=7.1729 alpha=90.38 beta=119.44 gamma=119.72
Last column: nearest neighbours and their distance in Å.
Space group P-1 (No. 2)
Inequivalent atoms, fractional coordinates:
1 Tb 0.0342 0.0681 0.2559 [2 per cell]  1 Pd 2.78, 1 In 3.07
2 Tb 0.2885 0.7206 0.2553 [2 per cell]  1 Pd 2.77, 1 In 3.07
3 Tb 0.3079 0.5306 0.7450 [2 per cell]  1 Pd 2.77, 1 In 3.07
4 In 0.5000 0.0000 0.0000 [1 per cell]  6 Tb 3.07
5 Pd 0.5000 0.5000 0.5000 [1 per cell]  6 Tb 2.77-2.78


Question: Look up the magnetic moment of the third one.
Answer: 0.00 Bohr magnetons per cell


Question: Look up the magnetic moment of the second one.
Answer: 0.00 Bohr magnetons per cell